The following is a GGA+U calculation of a relaxed structure of RbErMoO5, from Alexandria.

Calculated values
Total moment, μB/atom: 0.00
Electronic total energy, eV/atom: -6.965
Theoretical density, Mg/m³: 4.796

Lattice parameters (Å, degrees): 6.466 6.466 8.133 104.70 104.70 105.80
Element x y z (fractional)
Rb 0.179 0.821 0.750
Rb 0.821 0.179 0.250
Er 0.500 0.500 0.000
Er 0.500 0.500 0.500
Mo 0.187 0.813 0.250
Mo 0.813 0.187 0.750
O 0.104 0.270 0.897
O 0.205 0.629 0.382
O 0.270 0.104 0.397
O 0.371 0.795 0.118
O 0.439 0.561 0.750
O 0.561 0.439 0.250
O 0.629 0.205 0.882
O 0.730 0.896 0.603
O 0.795 0.371 0.618
O 0.896 0.730 0.103